a) Crystalline SrSc2Tl at its relaxed geometry, computed with PBE.

Values from the calculation:
magnetization: 0.97 μB per cell
calculated volume: 28.0 Å³/atom

```
4
Lattice="-2.4268 2.4268 4.7487 2.4268 -2.4268 4.7487 2.4268 2.4268 -4.7487" Properties=species:S:1:pos:R:3 pbc="T T T"
Sr 0.0000 0.0000 0.0000
Sc 2.4268 0.0000 2.3744
Sc 0.0000 2.4268 2.3744
Tl 0.0000 0.0000 4.7487
```


b) Crystalline SrSc2Tl at its relaxed geometry, computed with PBE.

Values from the calculation:
magnetization: 0.04 μB per cell
calculated volume: 29.7 Å³/atom

```
4
Lattice="3.5890 0.0000 0.0000 0.0000 5.1542 0.0000 -1.5648 0.0000 6.4219" Properties=species:S:1:pos:R:3 pbc="T T T"
Sr 0.0000 0.0000 0.0000
Sc 0.0903 2.5771 4.5309
Sc 1.9339 2.5771 1.8911
Tl 1.0121 0.0000 3.2110
```


c) Crystalline SrSc2Tl at its relaxed geometry, computed with PBE.

Values from the calculation:
magnetization: 0.24 μB per cell
calculated volume: 29.7 Å³/atom

```
4
Lattice="3.5543 0.0000 0.0000 0.0000 3.5543 0.0000 0.0000 0.0000 9.3971" Properties=species:S:1:pos:R:3 pbc="T T T"
Sr 0.0000 0.0000 0.0000
Sc 1.7771 1.7771 2.8622
Sc 1.7771 1.7771 6.5349
Tl 0.0000 0.0000 4.6986
```


d) Crystalline SrSc2Tl at its relaxed geometry, computed with PBE.

Values from the calculation:
magnetization: 0.60 μB per cell
calculated volume: 29.0 Å³/atom

```
4
Lattice="3.5334 0.0000 0.0000 0.0000 4.5962 0.0000 -0.0159 0.0000 7.1472" Properties=species:S:1:pos:R:3 pbc="T T T"
Sr 0.0000 0.0000 0.0000
Sc -0.0032 0.0000 3.6413
Sc 1.7639 2.2981 2.2330
Tl 1.7543 2.2981 5.1973
```


So which one is most stable? That would be d), about 7.5 kJ/mol of atoms below the next structure.